P) Compound: Ti2AlSi
Source: the Alexandria database
Functional: GGA-PBE
Structure: relaxed

The structure in POSCAR format:
```
Ti2AlSi
1.0
-3.514 3.514 2.706
3.514 -3.514 2.706
3.514 3.514 -2.706
Ti Al Si
4 2 2
Direct
0.112 0.625 0.987
0.375 0.362 0.487
0.638 0.125 0.013
0.875 0.888 0.513
0.250 0.750 0.500
0.500 0.500 0.000
0.000 0.000 0.000
0.750 0.250 0.500
```

Output
* density of states at the Fermi level: 0.806 states/eV/atom
* total moment: 0.00 μB/f.u.

Q) Compound: Ti2AlSi
Source: the Alexandria database
Functional: GGA-PBE
Structure: relaxed

The structure in POSCAR format:
```
Ti2AlSi
1.0
3.906 0.000 0.000
0.000 3.906 0.000
0.000 0.000 3.965
Ti Al Si
2 1 1
Direct
0.000 0.500 0.000
0.500 0.000 0.000
0.000 0.000 0.500
0.500 0.500 0.500
```

Output
* density of states at the Fermi level: 0.719 states/eV/atom
* total moment: 0.00 μB/f.u.

The structure with the least stability is P).

P) Compound: AlTlSi2
Source: the Alexandria database
Functional: GGA-PBE
Structure: relaxed

The structure in POSCAR format:
```
AlTlSi2
1.0
-1.515 2.578 5.073
1.515 -2.578 5.073
1.515 2.578 -5.073
Al Tl Si
1 1 2
Direct
0.000 0.000 0.000
0.500 0.500 0.000
0.216 0.716 0.500
0.784 0.284 0.500
```

Output
* density of states at the Fermi level: 0.473 states/eV/atom
* total moment: 0.00 μB/f.u.

Q) Compound: AlTlSi2
Source: the Alexandria database
Functional: GGA-PBE
Structure: relaxed

The structure in POSCAR format:
```
AlTlSi2
1.0
-1.559 2.525 5.040
1.559 -2.525 5.040
1.559 2.525 -5.040
Al Tl Si
1 1 2
Direct
0.000 0.000 0.000
0.292 0.792 0.500
0.574 0.574 0.000
0.771 0.271 0.500
```

Output
* density of states at the Fermi level: 0.436 states/eV/atom
* total moment: 0.00 μB/f.u.

The structure with the least stability is P).

P) Compound: AlTlSi2
Source: the Alexandria database
Functional: GGA-PBE
Structure: relaxed

The structure in POSCAR format:
```
AlTlSi2
1.0
3.393 0.000 0.000
0.000 3.393 0.000
0.000 0.000 7.282
Al Tl Si
1 1 2
Direct
0.000 0.000 0.000
0.000 0.000 0.500
0.500 0.500 0.170
0.500 0.500 0.830
```

Output
* density of states at the Fermi level: 0.429 states/eV/atom
* total moment: 0.00 μB/f.u.

Q) Compound: AlTlSi2
Source: the Alexandria database
Functional: GGA-PBE
Structure: relaxed

The structure in POSCAR format:
```
AlTlSi2
1.0
1.774 -2.493 0.000
1.774 2.493 0.000
0.000 0.000 9.250
Al Tl Si
1 1 2
Direct
0.000 0.000 0.000
0.500 0.500 0.302
0.000 0.000 0.600
0.500 0.500 0.786
```

Output
* density of states at the Fermi level: 0.625 states/eV/atom
* total moment: 0.00 μB/f.u.

The structure with the least stability is Q).

P) Compound: AlTlSi2
Source: the Alexandria database
Functional: GGA-PBE
Structure: relaxed

The structure in POSCAR format:
```
AlTlSi2
1.0
3.315 0.000 0.000
0.000 3.372 0.000
0.000 0.000 7.233
Al Tl Si
1 1 2
Direct
0.000 0.000 0.000
0.500 0.500 0.688
0.000 0.000 0.352
0.500 0.500 0.208
```

Output
* density of states at the Fermi level: 0.451 states/eV/atom
* total moment: 0.00 μB/f.u.

Q) Compound: AlTlSi2
Source: the Alexandria database
Functional: GGA-PBE
Structure: relaxed

The structure in POSCAR format:
```
AlTlSi2
1.0
3.256 -2.685 0.000
3.256 2.685 0.000
-0.103 0.000 4.690
Al Tl Si
1 1 2
Direct
0.000 0.000 0.000
0.500 0.500 0.000
0.196 0.196 0.493
0.804 0.804 0.507
```

Output
* density of states at the Fermi level: 0.476 states/eV/atom
* total moment: 0.00 μB/f.u.

The structure with the least stability is Q).

P) Compound: AlTlSi2
Source: the Alexandria database
Functional: GGA-PBE
Structure: relaxed

The structure in POSCAR format:
```
AlTlSi2
1.0
3.499 -3.617 0.000
3.499 3.617 0.000
0.000 0.000 3.120
Al Tl Si
1 1 2
Direct
0.000 0.000 0.000
0.500 0.500 0.000
0.000 0.500 0.500
0.500 0.000 0.500
```

Output
* density of states at the Fermi level: 0.330 states/eV/atom
* total moment: 0.00 μB/f.u.

Q) Compound: AlTlSi2
Source: the Alexandria database
Functional: GGA-PBE
Structure: relaxed

The structure in POSCAR format:
```
AlTlSi2
1.0
-2.041 2.041 4.727
2.041 -2.041 4.727
2.041 2.041 -4.727
Al Tl Si
1 1 2
Direct
0.000 0.000 0.000
0.750 0.250 0.500
0.250 0.750 0.500
0.500 0.500 0.000
```

Output
* density of states at the Fermi level: 0.390 states/eV/atom
* total moment: 0.00 μB/f.u.

The structure with the least stability is Q).

P) Compound: Al2TlSi
Source: the Alexandria database
Functional: GGA-PBE
Structure: relaxed

The structure in POSCAR format:
```
Al2TlSi
1.0
3.117 0.000 0.000
0.000 3.752 0.000
-1.343 0.000 7.129
Al Tl Si
2 1 1
Direct
0.000 0.000 0.000
0.396 0.500 0.782
0.743 0.000 0.493
0.566 0.500 0.147
```

Output
* density of states at the Fermi level: 0.379 states/eV/atom
* total moment: 0.00 μB/f.u.

Q) Compound: Al2TlSi
Source: the Alexandria database
Functional: GGA-PBE
Structure: relaxed

The structure in POSCAR format:
```
Al2TlSi
1.0
0.000 3.423 3.423
3.423 0.000 3.423
3.423 3.423 0.000
Al Tl Si
2 1 1
Direct
0.250 0.250 0.250
0.750 0.750 0.750
0.000 0.000 0.000
0.500 0.500 0.500
```

Output
* density of states at the Fermi level: 0.533 states/eV/atom
* total moment: 0.00 μB/f.u.

R) Compound: Al2TlSi
Source: the Alexandria database
Functional: GGA-PBE
Structure: relaxed

The structure in POSCAR format:
```
Al2TlSi
1.0
1.611 0.930 9.181
-1.611 0.930 9.181
0.000 -1.860 9.181
Al Tl Si
2 1 1
Direct
0.000 0.000 0.000
0.257 0.257 0.257
0.494 0.494 0.494
0.733 0.733 0.733
```

Output
* density of states at the Fermi level: 0.317 states/eV/atom
* total moment: 0.00 μB/f.u.

The structure with the least stability is Q).

P) Compound: Al2TlSi
Source: the Alexandria database
Functional: GGA-PBE
Structure: relaxed

The structure in POSCAR format:
```
Al2TlSi
1.0
3.049 -3.662 0.000
3.049 3.662 0.000
0.000 0.000 3.575
Al Tl Si
2 1 1
Direct
0.000 0.500 0.000
0.500 0.000 0.000
0.000 0.000 0.500
0.500 0.500 0.500
```

Output
* density of states at the Fermi level: 0.361 states/eV/atom
* total moment: 0.00 μB/f.u.

Q) Compound: Al2TlSi
Source: the Alexandria database
Functional: GGA-PBE
Structure: relaxed

The structure in POSCAR format:
```
Al2TlSi
1.0
3.029 0.000 0.000
0.000 3.029 0.000
0.000 0.000 8.977
Al Tl Si
2 1 1
Direct
0.000 0.000 0.000
0.500 0.500 0.207
0.500 0.500 0.691
0.000 0.000 0.389
```

Output
* density of states at the Fermi level: 0.474 states/eV/atom
* total moment: 0.00 μB/f.u.

The structure with the least stability is P).

P) Compound: Al2TlSi
Source: the Alexandria database
Functional: GGA-PBE
Structure: relaxed

The structure in POSCAR format:
```
Al2TlSi
1.0
4.737 0.000 0.000
0.000 4.737 0.000
0.000 0.000 3.576
Al Tl Si
2 1 1
Direct
0.000 0.500 0.000
0.500 0.000 0.000
0.000 0.000 0.500
0.500 0.500 0.500
```

Output
* density of states at the Fermi level: 0.458 states/eV/atom
* total moment: 0.00 μB/f.u.

Q) Compound: Al2TlSi
Source: the Alexandria database
Functional: GGA-PBE
Structure: relaxed

The structure in POSCAR format:
```
Al2TlSi
1.0
2.903 -5.022 0.000
2.903 5.022 0.000
-1.613 0.000 2.779
Al Tl Si
2 1 1
Direct
0.000 0.500 0.000
0.500 0.000 0.000
0.000 0.000 0.500
0.500 0.500 0.500
```

Output
* density of states at the Fermi level: 0.445 states/eV/atom
* total moment: 0.00 μB/f.u.

R) Compound: Al2TlSi
Source: the Alexandria database
Functional: GGA-PBE
Structure: relaxed

The structure in POSCAR format:
```
Al2TlSi
1.0
3.029 0.000 0.000
0.000 3.576 0.000
-1.155 0.000 7.517
Al Tl Si
2 1 1
Direct
0.082 0.000 0.184
0.918 0.000 0.816
0.000 0.500 0.500
0.500 0.500 0.000
```

Output
* density of states at the Fermi level: 0.421 states/eV/atom
* total moment: 0.00 μB/f.u.

S) Compound: Al2TlSi
Source: the Alexandria database
Functional: GGA-PBE
Structure: relaxed

The structure in POSCAR format:
```
Al2TlSi
1.0
3.677 0.000 0.000
0.000 4.567 0.000
0.000 0.000 4.831
Al Tl Si
2 1 1
Direct
0.000 0.000 0.000
0.500 0.000 0.500
0.000 0.500 0.500
0.500 0.500 0.000
```

Output
* density of states at the Fermi level: 0.277 states/eV/atom
* total moment: 0.00 μB/f.u.

The structure with the least stability is S).